No. 1
Material: BeSiAg2
Method: DFT, meta-GGA SCAN
State: single point on PBEsol structure

```
BeSiAg2
1.0
2.964 0.000 0.000
0.000 3.533 0.000
0.000 0.000 5.373
Be Si Ag
1 1 2
Direct
0.000 0.000 0.000
0.500 0.500 0.239
0.000 0.000 0.477
0.500 0.500 0.781
```

- Theoretical density: 7462 kg/m³
- Excess energy over the best structure of this formula in the dataset: 0 kJ/mol of formula units
- E: -19.013 eV per atom
- Formation energy from raw total energies: 263 meV per atom


No. 2
Material: Be2SiAg
Method: DFT, meta-GGA SCAN
State: single point on PBEsol structure

```
Be2SiAg
1.0
2.617 0.000 0.000
0.000 2.617 0.000
0.000 0.000 6.997
Be Si Ag
2 1 1
Direct
0.000 0.000 0.238
0.000 0.000 0.762
0.500 0.500 0.000
0.500 0.500 0.500
```

- Theoretical density: 5337 kg/m³
- E: -12.145 eV per atom
- Formation energy from raw total energies: 378 meV per atom


No. 3
Material: BeSi2Ag
Method: DFT, meta-GGA SCAN
State: single point on PBEsol structure

```
BeSi2Ag
1.0
2.659 0.000 0.000
0.000 3.472 0.000
0.000 0.000 6.103
Be Si Ag
1 2 1
Direct
0.000 0.000 0.000
0.500 0.500 0.205
0.500 0.500 0.795
0.000 0.000 0.500
```

- Theoretical density: 5101 kg/m³
- E: -13.389 eV per atom
- Formation energy from raw total energies: 549 meV per atom


No. 4
Material: SrBe2Ag
Method: DFT, meta-GGA SCAN
State: single point on PBEsol structure

```
SrBe2Ag
1.0
-2.241 2.241 8.339
2.241 -2.241 8.339
2.241 2.241 -8.339
Sr Be Ag
2 4 2
Direct
0.375 0.625 0.750
0.625 0.375 0.250
0.000 0.000 0.000
0.000 0.000 0.500
0.000 0.500 0.000
0.500 0.000 0.500
0.125 0.875 0.250
0.875 0.125 0.750
```

- Theoretical density: 4233 kg/m³
- E: -15.368 eV per atom
- Energy of formation from the pure elements: 0.220 eV/atom


No. 5
Material: TaBe2Ag
Method: DFT, meta-GGA SCAN
State: single point on PBEsol structure

```
TaBe2Ag
1.0
2.820 0.000 0.000
0.000 2.820 0.000
0.000 0.000 6.354
Ta Be Ag
1 2 1
Direct
0.000 0.000 0.000
0.500 0.500 0.268
0.500 0.500 0.732
0.000 0.000 0.500
```

- Theoretical density: 10087 kg/m³
- E: -26.645 eV per atom
- Energy of formation from the pure elements: 0.019 eV/atom


No. 6
Material: Ta2BeAgW
Method: DFT, meta-GGA SCAN
State: single point on PBEsol structure

```
Ta2BeAgW
1.0
4.411 0.000 0.000
0.000 4.411 0.000
0.000 0.000 4.036
Ta Be Ag W
2 1 1 1
Direct
0.000 0.500 0.000
0.500 0.000 0.000
0.000 0.000 0.000
0.000 0.000 0.500
0.500 0.500 0.500
```

- Theoretical density: 14013 kg/m³
- E: -46.942 eV per atom
- Energy of formation from the pure elements: 0.774 eV/atom